# 1
# Li2CaTaN

A relaxed Li2CaTaN crystal (PBE-GGA, Alexandria via LeMat-Bulk).

Calculated values
E_tot	-5.18	eV per atom
crystal system	tetragonal

POSCAR file:
```
Li2CaTaN
1.0
4.5818 0.0000 0.0000
0.0000 4.5818 0.0000
0.0000 0.0000 4.1226
Li Ca Ta N
2 1 1 1
Direct
0.0000 0.5000 0.0000 Li
0.5000 0.0000 0.0000 Li
0.0000 0.0000 0.5000 Ca
0.5000 0.5000 0.5000 Ta
0.5000 0.5000 0.0000 N
```

=====

# 2
# MgSiRh2

A relaxed MgSiRh2 crystal (PBE-GGA, Alexandria via LeMat-Bulk).

Calculated values
E_tot	-5.88	eV per atom
crystal system	tetragonal

POSCAR file:
```
MgSiRh2
1.0
-1.8178 1.8178 4.2825
1.8178 -1.8178 4.2825
1.8178 1.8178 -4.2825
Mg Si Rh
1 1 2
Direct
0.0000 0.0000 0.0000 Mg
0.7500 0.2500 0.5000 Si
0.2500 0.7500 0.5000 Rh
0.5000 0.5000 0.0000 Rh
```